(1)
DFT (PBE) results for a relaxed structure of Ti2MnVCu.

Computed properties:
Crystal system: tetragonal
E in eV per atom: -6.85
Magnetization in Bohr magnetons per cell: 0.00

CIF file:
```
data_Ti2MnVCu
_cell_length_a 4.283
_cell_length_b 4.283
_cell_length_c 4.510
_cell_angle_alpha 90.00
_cell_angle_beta 90.00
_cell_angle_gamma 90.00
_symmetry_space_group_name_H-M 'P 1'
_symmetry_Int_Tables_number 1
_symmetry_space_group_name_Hall 'P 1'
loop_
_atom_site_label
_atom_site_type_symbol
_atom_site_fract_x
_atom_site_fract_y
_atom_site_fract_z
Ti1 Ti 0.000 0.500 0.000
Ti2 Ti 0.500 0.000 0.000
Mn1 Mn 0.000 0.000 0.000
V1 V 0.500 0.500 0.500
Cu1 Cu 0.000 0.000 0.500
```

***

(2)
DFT (PBE) results for a relaxed structure of UAlSb.

Computed properties:
Crystal system: hexagonal
E in eV per atom: -6.36
Magnetization in Bohr magnetons per cell: 2.75

CIF file:
```
data_UAlSb
_cell_length_a 5.062
_cell_length_b 5.062
_cell_length_c 3.030
_cell_angle_alpha 90.00
_cell_angle_beta 90.00
_cell_angle_gamma 120.00
_symmetry_space_group_name_H-M 'P 1'
_symmetry_Int_Tables_number 1
_symmetry_space_group_name_Hall 'P 1'
loop_
_atom_site_label
_atom_site_type_symbol
_atom_site_fract_x
_atom_site_fract_y
_atom_site_fract_z
U1 U 0.000 0.000 0.000
Al1 Al 0.333 0.667 0.500
Sb1 Sb 0.667 0.333 0.500
```

***

(3)
DFT (PBE) results for a relaxed structure of TcTe2Se.

Computed properties:
Crystal system: tetragonal
E in eV per atom: -4.65
Magnetization in Bohr magnetons per cell: 0.00

CIF file:
```
data_TcTe2Se
_cell_length_a 7.062
_cell_length_b 7.062
_cell_length_c 7.062
_cell_angle_alpha 121.75
_cell_angle_beta 121.75
_cell_angle_gamma 87.00
_symmetry_space_group_name_H-M 'P 1'
_symmetry_Int_Tables_number 1
_symmetry_space_group_name_Hall 'P 1'
loop_
_atom_site_label
_atom_site_type_symbol
_atom_site_fract_x
_atom_site_fract_y
_atom_site_fract_z
Tc1 Tc 0.000 0.000 0.000
Tc2 Tc 0.750 0.250 0.500
Te1 Te 0.074 0.625 0.949
Te2 Te 0.375 0.324 0.449
Te3 Te 0.676 0.125 0.051
Te4 Te 0.875 0.926 0.551
Se1 Se 0.250 0.750 0.500
Se2 Se 0.500 0.500 0.000
```

***

(4)
DFT (PBE) results for a relaxed structure of ZrMoPt.

Computed properties:
Crystal system: triclinic
Magnetization in Bohr magnetons per cell: 0.00
Polymorph energy (0 for the lowest one) in meV/atom: 166

CIF file:
```
data_ZrMoPt
_cell_length_a 2.843
_cell_length_b 5.235
_cell_length_c 7.372
_cell_angle_alpha 81.00
_cell_angle_beta 81.19
_cell_angle_gamma 84.48
_symmetry_space_group_name_H-M 'P 1'
_symmetry_Int_Tables_number 1
_symmetry_space_group_name_Hall 'P 1'
loop_
_atom_site_label
_atom_site_type_symbol
_atom_site_fract_x
_atom_site_fract_y
_atom_site_fract_z
Zr1 Zr 0.000 0.000 0.000
Zr2 Zr 0.230 0.470 0.687
Mo1 Mo 0.223 0.168 0.351
Mo2 Mo 0.538 0.478 0.074
Pt1 Pt 0.650 0.955 0.668
Pt2 Pt 0.826 0.694 0.351
```

***

(5)
DFT (PBE) results for a relaxed structure of Sn2TeBr.

Computed properties:
Crystal system: trigonal
Magnetization in Bohr magnetons per cell: 0.00
Polymorph energy (0 for the lowest one) in meV/atom: 14

CIF file:
```
data_Sn2TeBr
_cell_length_a 9.098
_cell_length_b 9.098
_cell_length_c 9.098
_cell_angle_alpha 26.03
_cell_angle_beta 26.03
_cell_angle_gamma 26.03
_symmetry_space_group_name_H-M 'P 1'
_symmetry_Int_Tables_number 1
_symmetry_space_group_name_Hall 'P 1'
loop_
_atom_site_label
_atom_site_type_symbol
_atom_site_fract_x
_atom_site_fract_y
_atom_site_fract_z
Sn1 Sn 0.000 0.000 0.000
Sn2 Sn 0.175 0.175 0.175
Te1 Te 0.586 0.586 0.586
Br1 Br 0.756 0.756 0.756
```

***

(6)
DFT (PBE) results for a relaxed structure of BeAg2Rh.

Computed properties:
Crystal system: tetragonal
E in eV per atom: -3.78
Magnetization in Bohr magnetons per cell: 0.00

CIF file:
```
data_BeAg2Rh
_cell_length_a 9.935
_cell_length_b 9.935
_cell_length_c 9.935
_cell_angle_alpha 158.83
_cell_angle_beta 158.83
_cell_angle_gamma 30.11
_symmetry_space_group_name_H-M 'P 1'
_symmetry_Int_Tables_number 1
_symmetry_space_group_name_Hall 'P 1'
loop_
_atom_site_label
_atom_site_type_symbol
_atom_site_fract_x
_atom_site_fract_y
_atom_site_fract_z
Be1 Be 0.000 0.000 0.000
Be2 Be 0.750 0.250 0.500
Ag1 Ag 0.121 0.625 0.996
Ag2 Ag 0.375 0.371 0.496
Ag3 Ag 0.629 0.125 0.004
Ag4 Ag 0.875 0.879 0.504
Rh1 Rh 0.250 0.750 0.500
Rh2 Rh 0.500 0.500 0.000
```

***

(7)
DFT (PBE) results for a relaxed structure of AcGdInGe.

Computed properties:
Crystal system: cubic
E in eV per atom: -6.83
Magnetization in Bohr magnetons per cell: 7.16

CIF file:
```
data_AcGdInGe
_cell_length_a 5.472
_cell_length_b 5.472
_cell_length_c 5.472
_cell_angle_alpha 60.00
_cell_angle_beta 60.00
_cell_angle_gamma 60.00
_symmetry_space_group_name_H-M 'P 1'
_symmetry_Int_Tables_number 1
_symmetry_space_group_name_Hall 'P 1'
loop_
_atom_site_label
_atom_site_type_symbol
_atom_site_fract_x
_atom_site_fract_y
_atom_site_fract_z
Ac1 Ac 0.000 0.000 0.000
Gd1 Gd 0.500 0.500 0.500
In1 In 0.250 0.250 0.250
Ge1 Ge 0.750 0.750 0.750
```

***

(8)
DFT (PBE) results for a relaxed structure of MnMo2Cl.

Computed properties:
Crystal system: trigonal
Magnetization in Bohr magnetons per cell: 3.72
Polymorph energy (0 for the lowest one) in meV/atom: 63

CIF file:
```
data_MnMo2Cl
_cell_length_a 8.368
_cell_length_b 8.368
_cell_length_c 8.368
_cell_angle_alpha 21.41
_cell_angle_beta 21.41
_cell_angle_gamma 21.41
_symmetry_space_group_name_H-M 'P 1'
_symmetry_Int_Tables_number 1
_symmetry_space_group_name_Hall 'P 1'
loop_
_atom_site_label
_atom_site_type_symbol
_atom_site_fract_x
_atom_site_fract_y
_atom_site_fract_z
Mn1 Mn 0.000 0.000 0.000
Mo1 Mo 0.492 0.492 0.492
Mo2 Mo 0.754 0.754 0.754
Cl1 Cl 0.259 0.259 0.259
```

***

(9)
DFT (PBE) results for a relaxed structure of Ba2CoSi.

Computed properties:
Crystal system: trigonal
E in eV per atom: -3.53
Magnetization in Bohr magnetons per cell: 1.28

CIF file:
```
data_Ba2CoSi
_cell_length_a 9.194
_cell_length_b 9.194
_cell_length_c 9.194
_cell_angle_alpha 26.94
_cell_angle_beta 26.94
_cell_angle_gamma 26.94
_symmetry_space_group_name_H-M 'P 1'
_symmetry_Int_Tables_number 1
_symmetry_space_group_name_Hall 'P 1'
loop_
_atom_site_label
_atom_site_type_symbol
_atom_site_fract_x
_atom_site_fract_y
_atom_site_fract_z
Ba1 Ba 0.247 0.247 0.247
Ba2 Ba 0.753 0.753 0.753
Co1 Co 0.500 0.500 0.500
Si1 Si 0.000 0.000 0.000
```

***

(10)
DFT (PBE) results for a relaxed structure of SiTe2Au.

Computed properties:
Crystal system: trigonal
E in eV per atom: -3.66
Magnetization in Bohr magnetons per cell: 0.00

CIF file:
```
data_SiTe2Au
_cell_length_a 9.543
_cell_length_b 9.543
_cell_length_c 9.543
_cell_angle_alpha 22.08
_cell_angle_beta 22.08
_cell_angle_gamma 22.08
_symmetry_space_group_name_H-M 'P 1'
_symmetry_Int_Tables_number 1
_symmetry_space_group_name_Hall 'P 1'
loop_
_atom_site_label
_atom_site_type_symbol
_atom_site_fract_x
_atom_site_fract_y
_atom_site_fract_z
Si1 Si 0.000 0.000 0.000
Te1 Te 0.272 0.272 0.272
Te2 Te 0.459 0.459 0.459
Au1 Au 0.721 0.721 0.721
```

***

(11)
DFT (PBE) results for a relaxed structure of BaTaW2.

Computed properties:
Crystal system: tetragonal
Magnetization in Bohr magnetons per cell: 0.00
Polymorph energy (0 for the lowest one) in meV/atom: 756

CIF file:
```
data_BaTaW2
_cell_length_a 4.987
_cell_length_b 4.987
_cell_length_c 3.232
_cell_angle_alpha 90.00
_cell_angle_beta 90.00
_cell_angle_gamma 90.00
_symmetry_space_group_name_H-M 'P 1'
_symmetry_Int_Tables_number 1
_symmetry_space_group_name_Hall 'P 1'
loop_
_atom_site_label
_atom_site_type_symbol
_atom_site_fract_x
_atom_site_fract_y
_atom_site_fract_z
Ba1 Ba 0.000 0.000 0.000
Ta1 Ta 0.500 0.500 0.000
W1 W 0.000 0.500 0.500
W2 W 0.500 0.000 0.500
```

***

(12)
DFT (PBE) results for a relaxed structure of PmMg5Ga2.

Computed properties:
Crystal system: orthorhombic
E in eV per atom: -2.58
Magnetization in Bohr magnetons per cell: 0.00

CIF file:
```
data_PmMg5Ga2
_cell_length_a 6.911
_cell_length_b 6.911
_cell_length_c 6.911
_cell_angle_alpha 143.75
_cell_angle_beta 106.47
_cell_angle_gamma 84.84
_symmetry_space_group_name_H-M 'P 1'
_symmetry_Int_Tables_number 1
_symmetry_space_group_name_Hall 'P 1'
loop_
_atom_site_label
_atom_site_type_symbol
_atom_site_fract_x
_atom_site_fract_y
_atom_site_fract_z
Pm1 Pm 0.000 0.000 0.000
Mg1 Mg 0.162 0.345 0.818
Mg2 Mg 0.473 0.655 0.818
Mg3 Mg 0.500 0.000 0.500
Mg4 Mg 0.527 0.345 0.182
Mg5 Mg 0.838 0.655 0.182
Ga1 Ga 0.225 0.725 0.500
Ga2 Ga 0.775 0.275 0.500
```

***

Which density of states at the Fermi level belongs to each record? In order, 7.892; 5.438; 8.884; 5.361; 1.508; 5.541; 4.020; 2.017; 7.409; 2.077; 4.566; 2.414 states/eV per cell.